Compound: Na2CaAgH
Source: the Alexandria database
Functional: GGA-PBE
Structure: relaxed

Results
For the energy above the most stable polymorph in this dataset, the calculation gives 0 meV per atom. The space group is No. 123.

Cell lengths 4.717, 4.717, 4.883 Å; angles 90.00, 90.00, 90.00 degrees
Atoms (fractional coordinates):
Na1 0.000 0.500 0.000
Na2 0.500 0.000 0.000
Ca1 0.000 0.000 0.500
Ag1 0.500 0.500 0.500
H1 0.000 0.000 0.000